PBE NaIn3Se, relaxed; energy relative to the elements, uncorrected = 0.16 eV per atom; M_tot = 0.00 μB/cell; crystal system = cubic; SG = No. 221; polymorph energy (0 for the lowest one) = 0.0 meV/atom
1.0
5.740 0.000 0.000
0.000 5.740 0.000
0.000 0.000 5.740
Na In Se
1 3 1
direct
0.000 0.000 0.000 Na
0.000 0.500 0.500 In
0.500 0.000 0.500 In
0.500 0.500 0.000 In
0.500 0.500 0.500 Se